(1)
PBEsol BaScCr, optimized geometry; raw total energy = -4.85 eV/atom; ΔE to the lowest computed polymorph = 1.92 eV/f.u.; formation energy = 1487 meV/atom; SG = F-43m, No. 216
1.0
5.013 0.000 0.000
2.506 4.341 0.000
2.506 1.447 4.093
Sc Cr Ba
1 1 1
Direct
0.500 0.500 0.500
0.000 0.000 0.000
0.250 0.250 0.250

---

(2)
PBEsol BaScCr, optimized geometry; raw total energy = -5.48 eV/atom; ΔE to the lowest computed polymorph = 0.00 eV/f.u.; formation energy = 848 meV/atom; SG = P3m1, No. 156
1.0
3.438 0.000 0.000
-1.719 2.977 0.000
0.000 0.000 7.763
Ba Cr Sc
1 1 1
Direct
0.000 0.000 0.972
0.333 0.667 0.640
0.667 0.333 0.389

---

(3)
PBEsol Ba2ScCrW, optimized geometry; raw total energy = -5.26 eV/atom; formation energy = 1728 meV/atom; SG = P4/mmm, No. 123
1.0
4.815 0.000 0.000
0.000 5.714 0.000
0.000 0.000 5.714
Ba W Sc Cr
2 1 1 1
Direct
0.000 0.000 0.500
0.000 0.500 0.000
0.500 0.500 0.500
0.500 0.000 0.000
0.000 0.000 0.000

---

(4)
PBEsol BaCrSe2, optimized geometry; raw total energy = -5.99 eV/atom; formation energy without anion corrections = -0.9646 eV per atom; SG = P2/m, No. 10
1.0
3.720 0.000 0.000
0.000 4.231 0.162
0.000 -0.205 7.012
Se Ba Cr
2 1 1
Direct
0.000 0.496 0.759
0.000 0.504 0.241
0.500 0.000 0.500
0.500 0.500 0.000

---

(5)
PBEsol BaCrSn3, optimized geometry; raw total energy = -3.49 eV/atom; formation energy = 1543 meV/atom; SG = Pm-3m, No. 221
1.0
-0.001 5.843 -1.295
-5.880 -0.243 -1.089
-1.116 1.272 5.741
Sn Cr Ba
3 1 1
Direct
0.000 0.000 0.500
0.000 0.500 0.000
0.500 0.000 0.000
0.500 0.500 0.500
0.000 0.000 0.000

---

(6)
PBEsol BaSrCr4, optimized geometry; raw total energy = -6.31 eV/atom; formation energy = 1179 meV/atom; SG = F-43m, No. 216
1.0
5.982 0.000 0.000
2.991 5.180 0.000
2.991 1.727 4.884
Cr Ba Sr
4 1 1
Direct
0.375 0.375 0.874
0.375 0.375 0.375
0.375 0.874 0.375
0.874 0.375 0.375
0.000 0.000 0.000
0.750 0.750 0.750